(1)
# YMgSi2Ni2

Crystalline YMgSi2Ni2 at its relaxed geometry (PBE-GGA, Alexandria via LeMat-Bulk).

a b c (Å): 4.067 4.067 6.642
angles (deg): 90.00 90.00 120.00
Element x y z (fractional)
Y 0.000 0.000 0.000
Mg 0.000 0.000 0.500
Si 0.333 0.667 0.287
Si 0.667 0.333 0.713
Ni 0.333 0.667 0.677
Ni 0.667 0.333 0.323

## Properties
Energy relative to the elements, uncorrected, meV/atom: -645

(2)
# Sm4BiTe

Crystalline Sm4BiTe at its relaxed geometry (PBE-GGA, Alexandria via LeMat-Bulk).

a b c (Å): 11.314 11.314 6.429
angles (deg): 90.00 90.00 150.68
Element x y z (fractional)
Sm 0.065 0.935 0.750
Sm 0.211 0.789 0.501
Sm 0.211 0.789 0.999
Sm 0.372 0.628 0.750
Sm 0.628 0.372 0.250
Sm 0.789 0.211 0.001
Sm 0.789 0.211 0.499
Sm 0.935 0.065 0.250
Bi 0.351 0.649 0.250
Bi 0.649 0.351 0.750
Te 0.076 0.924 0.250
Te 0.924 0.076 0.750

## Properties
Energy relative to the elements, uncorrected, meV/atom: -619

(3)
# TcH3Ir

Crystalline TcH3Ir at its relaxed geometry (PBE-GGA, Alexandria via LeMat-Bulk).

a b c (Å): 3.412 3.412 3.412
angles (deg): 90.00 90.00 90.00
Element x y z (fractional)
Tc 0.000 0.000 0.000
H 0.000 0.000 0.500
H 0.000 0.500 0.000
H 0.500 0.000 0.000
Ir 0.500 0.500 0.500

## Properties
ΔE to the lowest computed polymorph, meV per atom: 157

(4)
# HfTi2Ga

Crystalline HfTi2Ga at its relaxed geometry (PBE-GGA, Alexandria via LeMat-Bulk).

a b c (Å): 5.928 5.928 5.928
angles (deg): 102.28 102.28 125.07
Element x y z (fractional)
Hf 0.000 0.000 0.000
Hf 0.750 0.250 0.500
Ti 0.150 0.625 0.025
Ti 0.375 0.400 0.525
Ti 0.600 0.125 0.975
Ti 0.875 0.850 0.475
Ga 0.250 0.750 0.500
Ga 0.500 0.500 0.000

## Properties
Formation energy from the elements, eV per atom: 0.1892

(5)
# Pa5Ge3Pt

Crystalline Pa5Ge3Pt at its relaxed geometry (PBE-GGA, Alexandria via LeMat-Bulk).

a b c (Å): 8.800 8.800 6.063
angles (deg): 90.00 90.00 120.00
Element x y z (fractional)
Pa 0.000 0.280 0.250
Pa 0.000 0.720 0.750
Pa 0.280 0.000 0.250
Pa 0.280 0.280 0.750
Pa 0.333 0.667 0.000
Pa 0.333 0.667 0.500
Pa 0.667 0.333 0.000
Pa 0.667 0.333 0.500
Pa 0.720 0.000 0.750
Pa 0.720 0.720 0.250
Ge 0.000 0.379 0.750
Ge 0.000 0.621 0.250
Ge 0.379 0.000 0.750
Ge 0.379 0.379 0.250
Ge 0.621 0.000 0.250
Ge 0.621 0.621 0.750
Pt 0.000 0.000 0.000
Pt 0.000 0.000 0.500

## Properties
Formation energy from the elements, eV per atom: -0.5310

(6)
# Na3In4Pb2

Crystalline Na3In4Pb2 at its relaxed geometry (PBE-GGA, Alexandria via LeMat-Bulk).

a b c (Å): 9.474 9.474 6.564
angles (deg): 90.01 90.01 58.75
Element x y z (fractional)
Na 0.000 0.000 0.250
Na 0.000 0.000 0.750
Na 0.331 0.332 0.750
Na 0.332 0.331 0.250
Na 0.668 0.669 0.750
Na 0.669 0.668 0.250
In 0.005 0.659 0.999
In 0.330 0.657 0.000
In 0.341 0.995 0.501
In 0.343 0.670 0.500
In 0.657 0.330 0.500
In 0.659 0.005 0.499
In 0.670 0.343 0.000
In 0.995 0.341 0.001
Pb 0.007 0.672 0.499
Pb 0.328 0.993 0.001
Pb 0.672 0.007 0.999
Pb 0.993 0.328 0.501

## Properties
ΔE to the lowest computed polymorph, meV per atom: 0
Formation energy from the elements, eV per atom: -0.1064

(7)
# LaPdN2

Crystalline LaPdN2 at its relaxed geometry (PBE-GGA, Alexandria via LeMat-Bulk).

a b c (Å): 6.573 6.573 6.573
angles (deg): 30.11 30.11 30.11
Element x y z (fractional)
La 0.000 0.000 0.000
Pd 0.500 0.500 0.500
N 0.121 0.121 0.121
N 0.879 0.879 0.879

## Properties
Energy relative to the elements, uncorrected, meV/atom: 598
ΔE to the lowest computed polymorph, meV per atom: 677

(8)
# LiLaRh3

Crystalline LiLaRh3 at its relaxed geometry (PBE-GGA, Alexandria via LeMat-Bulk).

a b c (Å): 4.385 4.385 4.385
angles (deg): 90.00 90.00 90.00
Element x y z (fractional)
Li 0.000 0.000 0.000
La 0.500 0.500 0.500
Rh 0.000 0.000 0.500
Rh 0.000 0.500 0.000
Rh 0.500 0.000 0.000

## Properties
ΔE to the lowest computed polymorph, meV per atom: 0
Formation energy from the elements, eV per atom: -0.0971

We obtain calculated total energy values of -5.7228, -4.9360, -5.2590, -7.0033, -8.0169, -2.5872, -6.0943, -5.8762 eV/atom for the records listed above, in that order.